(1)
The following is a DFT calculation (PBE-GGA) of an optimized crystal structure of KZrNi2.

Output
Its relative energy among the computed polymorphs is 545 meV/atom. The calculation puts the calculated volume at 297.2 Å³ per cell. The density comes out at 5.5 g/cm³. The total magnetization comes out at 0.0 μB/f.u. For the formation energy, the calculation gives 0.619 eV/atom.

a b c (Å): 6.6731 6.6731 6.6731
angles (deg): 90.00 90.00 90.00
Space group Fm-3m (No. 225)
Symmetry-distinct sites (fractional):
K  0.0000  0.0000  0.0000 x4
Zr  0.0000  0.0000  0.5000 x4
Ni  0.2500  0.2500  0.2500 x8

***

(2)
The following is a DFT calculation (PBE-GGA) of an optimized crystal structure of KZrNi2.

Output
Its relative energy among the computed polymorphs is 200 meV/atom. The calculation puts the calculated volume at 95.3 Å³ per cell. The density comes out at 4.3 g/cm³. The total magnetization comes out at 0.0 μB/f.u. For the formation energy, the calculation gives 0.274 eV/atom.

a b c (Å): 3.6094 3.8289 7.1259
angles (deg): 90.00 104.66 90.00
Space group Pm (No. 6)
Symmetry-distinct sites (fractional):
K  0.0000  0.0000  0.0000 x1
Zr  0.2692  0.5000  0.5413 x1
Ni  0.6401  0.5000  0.2835 x1
Ni  0.7402  0.0000  0.4835 x1

***

(3)
The following is a DFT calculation (PBE-GGA) of an optimized crystal structure of K2ZrNi.

Output
Its relative energy among the computed polymorphs is 634 meV/atom. The calculation puts the calculated volume at 213.0 Å³ per cell. The density comes out at 3.6 g/cm³. The total magnetization comes out at 0.2 μB/f.u. For the formation energy, the calculation gives 0.945 eV/atom.

a b c (Å): 3.3482 5.2534 12.1074
angles (deg): 90.00 90.00 90.00
Space group Cmmm (No. 65)
Symmetry-distinct sites (fractional):
K  0.0000  0.0000  0.2102 x4
Zr  0.0000  0.5000  0.5000 x2
Ni  0.0000  0.5000  0.0000 x2

***

(4)
The following is a DFT calculation (PBE-GGA) of an optimized crystal structure of KZrNi2.

Output
Its relative energy among the computed polymorphs is 454 meV/atom. The calculation puts the calculated volume at 150.2 Å³ per cell. The density comes out at 5.5 g/cm³. The total magnetization comes out at 0.0 μB/f.u. For the formation energy, the calculation gives 0.529 eV/atom.

a b c (Å): 2.7772 5.0395 10.7341
angles (deg): 90.00 90.00 90.00
Space group Imm2 (No. 44)
Symmetry-distinct sites (fractional):
K  0.0000  0.0000  0.0000 x2
Zr  0.0000  0.5000  0.8020 x2
Ni  0.0000  0.0000  0.5314 x2
Ni  0.0000  0.5000  0.2201 x2

***

(5)
The following is a DFT calculation (PBE-GGA) of an optimized crystal structure of K2ZrNi.

Output
Its relative energy among the computed polymorphs is 326 meV/atom. The calculation puts the calculated volume at 280.0 Å³ per cell. The density comes out at 2.7 g/cm³. The total magnetization comes out at 0.0 μB/f.u. For the formation energy, the calculation gives 0.638 eV/atom.

a b c (Å): 3.3558 6.4059 13.0250
angles (deg): 90.00 90.00 90.00
Space group Imm2 (No. 44)
Symmetry-distinct sites (fractional):
K  0.0000  0.0000  0.0000 x2
K  0.0000  0.5000  0.1848 x2
Zr  0.0000  0.0000  0.3570 x2
Ni  0.0000  0.5000  0.7243 x2

***

(6)
The following is a DFT calculation (PBE-GGA) of an optimized crystal structure of KZrNi2.

Output
Its relative energy among the computed polymorphs is 684 meV/atom. The calculation puts the calculated volume at 147.2 Å³ per cell. The density comes out at 5.6 g/cm³. The total magnetization comes out at 0.0 μB/f.u. For the formation energy, the calculation gives 0.758 eV/atom.

a b c (Å): 3.9386 3.9386 9.4878
angles (deg): 90.00 90.00 90.00
Space group I-4m2 (No. 119)
Symmetry-distinct sites (fractional):
K  0.0000  0.0000  0.0000 x2
Zr  0.0000  0.5000  0.2500 x2
Ni  0.0000  0.0000  0.5000 x2
Ni  0.0000  0.5000  0.7500 x2

***

(7)
The following is a DFT calculation (PBE-GGA) of an optimized crystal structure of K2ZrNi.

Output
Its relative energy among the computed polymorphs is 1036 meV/atom. The calculation puts the calculated volume at 129.3 Å³ per cell. The density comes out at 2.9 g/cm³. The total magnetization comes out at 1.5 μB/f.u. For the formation energy, the calculation gives 1.347 eV/atom.

a b c (Å): 6.7144 6.7144 2.8689
angles (deg): 90.00 90.00 90.00
Space group P4/mmm (No. 123)
Symmetry-distinct sites (fractional):
K  0.0000  0.5000  0.0000 x2
Zr  0.0000  0.0000  0.5000 x1
Ni  0.5000  0.5000  0.5000 x1

***

(8)
The following is a DFT calculation (PBE-GGA) of an optimized crystal structure of KNp4.

Output
The calculation puts the calculated volume at 142.9 Å³ per cell. The density comes out at 11.5 g/cm³. The total magnetization comes out at 17.9 μB/f.u. For the formation energy, the calculation gives 2.237 eV/atom.

a b c (Å): 5.2279 5.2279 5.2279
angles (deg): 90.00 90.00 90.00
Space group Pm-3m (No. 221)
Symmetry-distinct sites (fractional):
K  0.0000  0.0000  0.0000 x1
Np  0.0000  0.0000  0.5000 x3
Np  0.5000  0.5000  0.5000 x1

***

(9)
The following is a DFT calculation (PBE-GGA) of an optimized crystal structure of K4Np.

Output
The calculation puts the calculated volume at 428.1 Å³ per cell. The density comes out at 1.5 g/cm³. The total magnetization comes out at 7.0 μB/f.u. For the formation energy, the calculation gives 1.095 eV/atom.

a b c (Å): 7.5365 7.5365 7.5365
angles (deg): 90.00 90.00 90.00
Space group Pm-3m (No. 221)
Symmetry-distinct sites (fractional):
K  0.0000  0.0000  0.0000 x1
K  0.0000  0.5000  0.5000 x3
Np  0.5000  0.5000  0.5000 x1

***

(10)
The following is a DFT calculation (PBE-GGA) of an optimized crystal structure of K2NpO4.

Output
The calculation puts the calculated volume at 248.5 Å³ per cell. The density comes out at 5.1 g/cm³. Its raw formation energy is -2.46 eV/atom. The total magnetization comes out at 1.0 μB/f.u.

a b c (Å): 6.4691 10.8860 3.5281
angles (deg): 90.00 90.00 90.00
Space group Pbam (No. 55)
Symmetry-distinct sites (fractional):
K  0.0567  0.1786  0.0000 x4
Np  0.0000  0.5000  0.5000 x2
O  0.1216  0.6604  0.5000 x4
O  0.1876  0.4519  0.0000 x4

***

(11)
The following is a DFT calculation (PBE-GGA) of an optimized crystal structure of K2Np2O5.

Output
The calculation puts the calculated volume at 655.9 Å³ per cell. The density comes out at 6.4 g/cm³. Its raw formation energy is -2.48 eV/atom. The total magnetization comes out at 6.0 μB/f.u.

a b c (Å): 17.3010 6.1727 6.1418
angles (deg): 90.00 90.00 90.00
Space group Ima2 (No. 46)
Symmetry-distinct sites (fractional):
K  0.1119  0.0076  0.0000 x8
Np  0.0000  0.0000  0.5010 x4
Np  0.2500  0.5347  0.9831 x4
O  0.0052  0.7494  0.7505 x8
O  0.1306  0.0286  0.5029 x8
O  0.2500  0.6675  0.6621 x4

***

(12)
The following is a DFT calculation (PBE-GGA) of an optimized crystal structure of KNp4O12.

Output
The calculation puts the calculated volume at 581.6 Å³ per cell. The density comes out at 6.7 g/cm³. Its raw formation energy is -2.73 eV/atom. The total magnetization comes out at 5.0 μB/f.u.

a b c (Å): 8.3473 8.3473 8.3473
angles (deg): 90.00 90.00 90.00
Space group Im-3 (No. 204)
Symmetry-distinct sites (fractional):
K  0.0000  0.0000  0.0000 x2
Np  0.2500  0.2500  0.2500 x8
O  0.0000  0.2456  0.2473 x24